VASP calculation (PBE) on a relaxed structure of AlNiCl2.

The structure belongs to space group Fm-3m (No. 225); the cell edges are 6.4822, 6.4822 and 6.4822 Å and the angles 90.00°, 90.00° and 90.00°. The inequivalent atoms are Al at (0.0000, 0.0000, 0.0000), Ni at (0.0000, 0.0000, 0.5000) and Cl at (0.2500, 0.2500, 0.2500).

The calculation puts the uncorrected formation energy at 0.203 eV per atom. The volume comes out at 272.38 Å³ per cell. The crystal system is cubic. As for the energy above the most stable polymorph in this dataset: 775 meV per atom.